DFT (GGA-PBE) results for a relaxed structure of La2CuTe.

Results
Its total DFT energy (no corrections) is -38.73 eV/cell. As for the crystal system: tetragonal. The total magnetization comes out at 0.00 μB/cell. For the raw formation energy, the calculation gives -0.57 eV per atom.

a = 8.0623 Å, b = 8.0623 Å, c = 6.8711 Å
α = 54.08°, β = 54.08°, γ = 90.00°
Sites, in units of the cell vectors:
Te1 0.7500 0.2500 0.5000
Te2 0.0000 0.0000 0.0000
La1 0.3750 0.4112 0.7500
La2 0.5888 0.1250 0.2500
Cu1 0.5000 0.5000 0.0000
La3 0.8750 0.8388 0.7500
La4 0.1612 0.6250 0.2500
Cu2 0.2500 0.7500 0.5000